Below is a relaxed ScFeSiO2 crystal, with properties calculated at the PBE with a Hubbard U level.

Output
The calculation puts the magnetization at 2.34 μB/f.u. The value obtained for the density of states at the Fermi level is 2.46 states/eV/cell. The total energy comes out at -0.224 Ha/atom. The space group is P4/mmm (123).

```
data_ScFeSiO2
_chemical_formula_sum 'Sc1 Fe1 Si1 O2'
_space_group_name_H-M_alt 'P 1'
_space_group_IT_number 1
_space_group_name_Hall 'P 1'
_cell_length_a 3.672
_cell_length_b 4.813
_cell_length_c 3.672
_cell_angle_alpha 90.00
_cell_angle_beta 90.00
_cell_angle_gamma 90.00
loop_
_atom_site_label
_atom_site_type_symbol
_atom_site_fract_x
_atom_site_fract_y
_atom_site_fract_z
Sc1 Sc 0.500 0.500 0.500
Si1 Si 0.000 0.000 0.000
Fe1 Fe 0.000 0.500 0.000
O1 O 0.000 0.000 0.500
O2 O 0.500 0.000 0.000
```